[1]
## CaAsF2 (SCAN)

Data for a crystal of CaAsF2 relaxed with PBEsol.

abc: 3.2779 3.2779 9.2999
angles: 79.85 79.85 60.00
Last column: nearest neighbours and their distance in Å.
Positions (direct):
Ca1 0.5000 0.5000 0.5000  6 F 2.19
F1 0.8736 0.8736 0.3791  3 Ca 2.19
F2 0.1264 0.1264 0.6209  3 Ca 2.19
As1 0.0000 0.0000 0.0000  6 As 3.28, 2 F 3.45

## Properties
E_form (uncorrected) in eV per atom: -2.45
Distance to the lowest polymorph of the same formula in eV per atom: 0.000
Magnetization in μB/atom: 0.00
Symmetry: R-3m
DOS(E_F) in states/eV/f.u.: 1.16

***

[2]
## NaCaAs2F (SCAN)

Data for a crystal of NaCaAs2F relaxed with PBEsol.

abc: 4.7066 4.7066 5.9811
angles: 90.00 90.00 90.00
Last column: nearest neighbours and their distance in Å.
Positions (direct):
As1 0.5000 0.0000 0.0000  2 Na 2.35
As2 0.0000 0.5000 0.0000  2 Na 2.35
Na1 0.0000 0.0000 0.0000  4 As 2.35
Ca1 0.0000 0.0000 0.5000  2 Na 2.99, 4 F 3.33
F1 0.5000 0.5000 0.5000  4 Ca 3.33

## Properties
E_form (uncorrected) in eV per atom: 0.01
Magnetization in μB/atom: 0.00
Symmetry: P4/mmm
DOS(E_F) in states/eV/f.u.: 2.19

***

[3]
## Ca5As3O12F (SCAN)

Data for a crystal of Ca5As3O12F relaxed with PBEsol.

abc: 6.9711 9.5301 9.6477
angles: 60.74 87.81 88.79
Last column: nearest neighbours and their distance in Å.
Positions (direct):
O1 0.9374 0.7271 0.9132  1 As 1.71
O2 0.0626 0.2729 0.0868  1 As 1.71
O3 0.2413 0.8221 0.6919  1 As 1.70
O4 0.6011 0.2697 0.7761  1 As 1.71
O5 0.9658 0.3717 0.7344  1 As 1.72
O6 0.0696 0.0764 0.7077  1 As 1.70
O7 0.7076 0.5882 0.5314  1 As 1.71
O8 0.4489 0.0993 0.6238  1 As 1.72
O9 0.7587 0.1779 0.3081  1 As 1.70
O10 0.7808 0.3089 0.5049  1 As 1.70
O11 0.9304 0.9236 0.2923  1 As 1.70
O12 0.5511 0.9007 0.3762  1 As 1.72
O13 0.4528 0.2291 0.1037  1 As 1.71
O14 0.5472 0.7709 0.8963  1 As 1.71
O15 0.2924 0.4118 0.4686  1 As 1.71
O16 0.7158 0.5163 0.8787  1 As 1.72
O17 0.7132 0.5195 0.1774  1 As 1.71
O18 0.2020 0.1244 0.4029  1 As 1.72
O19 0.3989 0.7303 0.2239  1 As 1.71
O20 0.2868 0.4805 0.8226  1 As 1.71
O21 0.2192 0.6911 0.4951  1 As 1.70
O22 0.7980 0.8756 0.5971  1 As 1.72
O23 0.2842 0.4837 0.1213  1 As 1.72
O24 0.0342 0.6283 0.2656  1 As 1.72
Ca1 0.7693 0.2265 0.0054  4 O 2.34-2.44, 1 F 2.35
Ca2 0.7307 0.7483 0.2491  1 F 2.29, 4 O 2.35-2.39
Ca3 0.7415 0.0082 0.7571  1 F 2.31, 4 O 2.36-2.44
Ca4 0.0041 0.6425 0.7023  7 O 2.31-2.55
Ca5 0.2585 0.9918 0.2429  1 F 2.31, 4 O 2.36-2.44
Ca6 0.2693 0.2517 0.7509  1 F 2.29, 4 O 2.35-2.39
Ca7 0.5017 0.3098 0.3457  6 O 2.29-2.52
Ca8 0.4983 0.6902 0.6543  6 O 2.29-2.52
Ca9 0.9959 0.3575 0.2977  7 O 2.31-2.55
Ca10 0.2307 0.7735 0.9946  4 O 2.34-2.44, 1 F 2.35
As1 0.7646 0.3877 0.6299  4 O 1.70-1.72
As2 0.7656 0.9739 0.3957  4 O 1.70-1.72
As3 0.7229 0.6279 0.9747  4 O 1.71-1.72
As4 0.2354 0.6123 0.3701  4 O 1.70-1.72
As5 0.2771 0.3721 0.0253  4 O 1.71-1.72
As6 0.2344 0.0261 0.6043  4 O 1.70-1.72
F1 0.7560 0.9793 0.0084  3 Ca 2.29-2.35
F2 0.2440 0.0207 0.9916  3 Ca 2.29-2.35

## Properties
E_form (uncorrected) in eV per atom: -2.65
Magnetization in μB/atom: 0.00
Symmetry: P-1
DOS(E_F) in states/eV/f.u.: 0.00

***

[4]
## Ca2Fe2As (SCAN)

Data for a crystal of Ca2Fe2As relaxed with PBEsol.

abc: 5.2157 5.2157 5.2157
angles: 82.16 64.42 115.58
Last column: nearest neighbours and their distance in Å.
Positions (direct):
Ca1 0.5000 0.2500 0.2500  4 Fe 2.85
Ca2 0.5000 0.7500 0.7500  4 Fe 2.85
Fe1 0.0000 0.3439 0.6561  1 Fe 2.14, 1 As 2.36
Fe2 0.0000 0.6561 0.3439  1 Fe 2.14, 1 As 2.36
As1 0.0000 0.0000 0.0000  2 Fe 2.36

## Properties
Magnetization in μB/atom: 1.00
Symmetry: I4/mmm
DOS(E_F) in states/eV/f.u.: 3.57
ΔE_f in eV per formula unit: 1.2

***

[5]
## CaFe4As3 (SCAN)

Data for a crystal of CaFe4As3 relaxed with PBEsol.

abc: 3.6298 11.2806 11.5627
angles: 90.00 90.00 90.00
Last column: nearest neighbours and their distance in Å.
Positions (direct):
Fe1 0.7500 0.3724 0.6935  4 As 2.37-2.42, 5 Fe 2.53-2.55
Fe2 0.7500 0.9604 0.9318  4 As 2.30-2.34, 4 Fe 2.53-2.57
Fe3 0.2500 0.8160 0.0198  5 As 2.32-2.53, 2 Fe 2.55-2.58
Fe4 0.2500 0.2281 0.3104  4 As 2.32-2.36, 2 Fe 2.53
Fe5 0.2500 0.0396 0.0682  4 As 2.30-2.34, 4 Fe 2.53-2.57
Fe6 0.7500 0.1840 0.9802  5 As 2.32-2.53, 2 Fe 2.55-2.58
Fe7 0.7500 0.3160 0.4802  5 As 2.32-2.53, 2 Fe 2.55-2.58
Fe8 0.7500 0.5396 0.4318  4 As 2.30-2.34, 4 Fe 2.53-2.57
Fe9 0.2500 0.8724 0.8065  4 As 2.37-2.42, 5 Fe 2.53-2.55
Fe10 0.2500 0.2719 0.8104  4 As 2.32-2.36, 2 Fe 2.53
Fe11 0.7500 0.7281 0.1896  4 As 2.32-2.36, 2 Fe 2.53
Fe12 0.7500 0.7719 0.6896  4 As 2.32-2.36, 2 Fe 2.53
Fe13 0.2500 0.4604 0.5682  4 As 2.30-2.34, 4 Fe 2.53-2.57
Fe14 0.7500 0.1276 0.1935  4 As 2.37-2.42, 5 Fe 2.53-2.55
Fe15 0.2500 0.6276 0.3065  4 As 2.37-2.42, 5 Fe 2.53-2.55
Fe16 0.2500 0.6840 0.5198  5 As 2.32-2.53, 2 Fe 2.55-2.58
Ca1 0.7500 0.4335 0.1643  7 As 2.92-3.16
Ca2 0.7500 0.0665 0.6643  7 As 2.92-3.16
Ca3 0.2500 0.9335 0.3357  7 As 2.92-3.16
Ca4 0.2500 0.5665 0.8357  7 As 2.92-3.16
As1 0.2500 0.0754 0.8708  7 Fe 2.32-2.53
As2 0.2500 0.6282 0.1018  4 Fe 2.32-2.37
As3 0.7500 0.7396 0.3923  6 Fe 2.30-2.42
As4 0.2500 0.8718 0.6018  4 Fe 2.32-2.37
As5 0.7500 0.7604 0.8923  6 Fe 2.30-2.42
As6 0.2500 0.2604 0.6077  6 Fe 2.30-2.42
As7 0.2500 0.4246 0.3708  7 Fe 2.32-2.53
As8 0.7500 0.1282 0.3982  4 Fe 2.32-2.37
As9 0.2500 0.2396 0.1077  6 Fe 2.30-2.42
As10 0.7500 0.5754 0.6292  7 Fe 2.32-2.53
As11 0.7500 0.3718 0.8982  4 Fe 2.32-2.37
As12 0.7500 0.9246 0.1292  7 Fe 2.32-2.53

## Properties
Magnetization in μB/atom: 1.09
Symmetry: Pnma
DOS(E_F) in states/eV/f.u.: 5.29
ΔE_f in eV per formula unit: -2.9

***

[6]
## CaFeAs (SCAN)

Data for a crystal of CaFeAs relaxed with PBEsol.

abc: 4.4452 4.4452 4.4452
angles: 60.00 60.00 60.00
Last column: nearest neighbours and their distance in Å.
Positions (direct):
As1 0.2500 0.2500 0.2500  4 Fe 2.72, 4 Ca 2.72
Fe1 0.5000 0.5000 0.5000  4 As 2.72
Ca1 0.0000 0.0000 0.0000  4 As 2.72

## Properties
Magnetization in μB/atom: 1.00
Symmetry: F-43m
DOS(E_F) in states/eV/f.u.: 2.67
ΔE_f in eV per formula unit: -1.1

***

[7]
## CaFe2AsOs (SCAN)

Data for a crystal of CaFe2AsOs relaxed with PBEsol.

abc: 4.3123 4.3123 5.0685
angles: 90.00 90.00 90.00
Last column: nearest neighbours and their distance in Å.
Positions (direct):
Fe1 0.0000 0.5000 0.0000  2 As 2.16
Fe2 0.5000 0.0000 0.0000  2 As 2.16
As1 0.0000 0.0000 0.0000  4 Fe 2.16
Os1 0.5000 0.5000 0.5000  4 Ca 3.05, 8 Fe 3.33
Ca1 0.0000 0.0000 0.5000  2 As 2.53

## Properties
Magnetization in μB/atom: 1.56
Symmetry: P4/mmm
DOS(E_F) in states/eV/f.u.: 3.62
ΔE_f in eV per formula unit: 5.8

***

[8]
## Ca3Ge2As4 (SCAN)

Data for a crystal of Ca3Ge2As4 relaxed with PBEsol.

abc: 7.2166 7.2383 17.7884
angles: 90.00 90.00 111.67
Last column: nearest neighbours and their distance in Å.
Positions (direct):
Ca1 0.0013 0.2634 0.4373  6 As 2.98-3.07
Ca2 0.5126 0.2173 0.8167  6 As 2.94-3.05
Ca3 0.9874 0.7827 0.3167  6 As 2.94-3.05
Ca4 0.4987 0.7366 0.9373  6 As 2.98-3.07
Ca5 0.0126 0.2173 0.6833  6 As 2.94-3.05
Ca6 0.0123 0.2553 0.9418  6 As 2.97-3.11, 1 Ge 3.31
Ca7 0.5013 0.2634 0.0627  6 As 2.98-3.07
Ca8 0.5123 0.2553 0.5582  6 As 2.97-3.11, 1 Ge 3.31
Ca9 0.9987 0.7366 0.5627  6 As 2.98-3.07
Ca10 0.4877 0.7447 0.4418  6 As 2.97-3.11, 1 Ge 3.31
Ca11 0.9877 0.7447 0.0582  6 As 2.97-3.11, 1 Ge 3.31
Ca12 0.4874 0.7827 0.1833  6 As 2.94-3.05
Ge1 0.0796 0.6808 0.7586  1 Ge 2.44, 3 As 2.45-2.47
Ge2 0.9204 0.3192 0.2414  1 Ge 2.44, 3 As 2.45-2.47
Ge3 0.5796 0.6808 0.7414  1 Ge 2.44, 3 As 2.45-2.47
Ge4 0.0309 0.2087 0.1264  3 As 2.41-2.48, 1 Ge 2.44
Ge5 0.4691 0.7913 0.6264  3 As 2.41-2.48, 1 Ge 2.44
Ge6 0.5309 0.2087 0.3736  3 As 2.41-2.48, 1 Ge 2.44
Ge7 0.4204 0.3192 0.2586  1 Ge 2.44, 3 As 2.45-2.47
Ge8 0.9691 0.7913 0.8736  3 As 2.41-2.48, 1 Ge 2.44
As1 0.7588 0.9995 0.5581  1 Ge 2.41
As2 0.2505 0.4907 0.5655  1 Ge 2.42
As3 0.7666 0.4807 0.6944  2 Ge 2.46-2.47
As4 0.7505 0.4907 0.9345  1 Ge 2.42
As5 0.2666 0.4807 0.8056  2 Ge 2.46-2.47
As6 0.7779 0.9752 0.8137  2 Ge 2.45-2.48
As7 0.7495 0.5093 0.4345  1 Ge 2.42
As8 0.7221 0.0248 0.3137  2 Ge 2.45-2.48
As9 0.2779 0.9752 0.6863  2 Ge 2.45-2.48
As10 0.2334 0.5193 0.3056  2 Ge 2.46-2.47
As11 0.7412 0.0005 0.0581  1 Ge 2.41
As12 0.2221 0.0248 0.1863  2 Ge 2.45-2.48
As13 0.2412 0.0005 0.4419  1 Ge 2.41
As14 0.2495 0.5093 0.0655  1 Ge 2.42
As15 0.2588 0.9995 0.9419  1 Ge 2.41
As16 0.7334 0.5193 0.1944  2 Ge 2.46-2.47

## Properties
Magnetization in μB/atom: 0.00
Symmetry: P2_1/c
ΔE_f in eV per formula unit: -8.0

***

[9]
## CaGe2As2 (SCAN)

Data for a crystal of CaGe2As2 relaxed with PBEsol.

abc: 3.9550 3.9550 7.4231
angles: 105.45 105.45 90.00
Last column: nearest neighbours and their distance in Å.
Positions (direct):
Ca1 0.0000 0.0000 0.0000  8 As 3.06
Ge1 0.7500 0.2500 0.5000  4 Ge 2.80, 4 As 2.95
Ge2 0.2500 0.7500 0.5000  4 Ge 2.80, 4 As 2.95
As1 0.5912 0.5912 0.1824  1 As 2.51
As2 0.4088 0.4088 0.8176  1 As 2.51

## Properties
Magnetization in μB/atom: 0.00
Symmetry: I4/mmm
DOS(E_F) in states/eV/f.u.: 1.90
ΔE_f in eV per formula unit: -1.2

***

[10]
## Ca2AsH2 (SCAN)

Data for a crystal of Ca2AsH2 relaxed with PBEsol.

abc: 3.5875 3.5875 6.8390
angles: 105.21 105.21 90.00
Last column: nearest neighbours and their distance in Å.
Positions (direct):
Ca1 0.6462 0.6462 0.2924  4 H 2.23
Ca2 0.3538 0.3538 0.7076  4 H 2.23
As1 0.0000 0.0000 0.0000  8 Ca 3.14
H1 0.7500 0.2500 0.5000  4 Ca 2.23
H2 0.2500 0.7500 0.5000  4 Ca 2.23

## Properties
Magnetization in μB/atom: 0.00
Symmetry: I4/mmm
Energy in Ry per atom: -0.7449
DOS(E_F) in states/eV/f.u.: 0.65

***

[11]
## CaAs3H (SCAN)

Data for a crystal of CaAs3H relaxed with PBEsol.

abc: 4.3714 4.3714 4.3714
angles: 90.00 90.00 90.00
Last column: nearest neighbours and their distance in Å.
Positions (direct):
H1 0.0000 0.0000 0.0000  6 As 2.19
As1 0.0000 0.5000 0.0000  2 H 2.19
As2 0.0000 0.0000 0.5000  2 H 2.19
As3 0.5000 0.0000 0.0000  2 H 2.19
Ca1 0.5000 0.5000 0.5000  12 As 3.09

## Properties
Magnetization in μB/atom: 0.00
Symmetry: Pm-3m
Energy in Ry per atom: -1.0874
DOS(E_F) in states/eV/f.u.: 1.86

***

[12]
## CaNiAsHO5 (SCAN)

Data for a crystal of CaNiAsHO5 relaxed with PBEsol.

abc: 5.8955 7.3613 8.8742
angles: 90.00 90.00 90.00
Last column: nearest neighbours and their distance in Å.
Positions (direct):
O1 0.9888 0.9346 0.0598  1 As 1.74
O2 0.7368 0.8512 0.7761  1 As 1.72
O3 0.7487 0.3940 0.7005  1 As 1.72
O4 0.9086 0.7898 0.4389  1 H 1.64, 1 As 1.72
O5 0.5112 0.0654 0.5598  1 As 1.74
O6 0.7513 0.6060 0.2005  1 As 1.72
O7 0.2632 0.3512 0.7239  1 As 1.72
O8 0.2513 0.8940 0.7995  1 As 1.72
O9 0.2368 0.6488 0.2239  1 As 1.72
O10 0.2487 0.1060 0.2995  1 As 1.72
O11 0.4888 0.5654 0.9402  1 As 1.74
O12 0.7632 0.1488 0.2761  1 As 1.72
O13 0.0010 0.6002 0.9278  1 H 1.00
O14 0.4086 0.7102 0.5611  1 H 1.64, 1 As 1.72
O15 0.4990 0.3998 0.4278  1 H 1.00
O16 0.0914 0.2898 0.0611  1 H 1.64, 1 As 1.72
O17 0.0112 0.4346 0.4402  1 As 1.74
O18 0.5010 0.8998 0.0722  1 H 1.00
O19 0.9990 0.1002 0.5722  1 H 1.00
O20 0.5914 0.2102 0.9389  1 H 1.64, 1 As 1.72
Ca1 0.0262 0.6293 0.6736  7 O 2.27-2.54
Ca2 0.4738 0.3707 0.1736  7 O 2.27-2.54
Ca3 0.5262 0.8707 0.3264  7 O 2.27-2.54
Ca4 0.9738 0.1293 0.8264  7 O 2.27-2.54
As1 0.4838 0.8815 0.6822  4 O 1.72-1.74
As2 0.0162 0.1185 0.1822  4 O 1.72-1.74
As3 0.5162 0.3815 0.8178  4 O 1.72-1.74
As4 0.9838 0.6185 0.3178  4 O 1.72-1.74
H1 0.0134 0.4842 0.9858  1 O 1.00
H2 0.5134 0.0158 0.0142  1 O 1.00
H3 0.9866 0.9842 0.5142  1 O 1.00
H4 0.4866 0.5158 0.4858  1 O 1.00
Ni1 0.7436 0.7427 0.9967  6 O 1.94-2.12
Ni2 0.7564 0.2573 0.4967  6 O 1.94-2.12
Ni3 0.2564 0.2427 0.5033  6 O 1.94-2.12
Ni4 0.2436 0.7573 0.0033  6 O 1.94-2.12

## Properties
Magnetization in μB/atom: 0.22
Symmetry: P2_12_12_1
Energy in Ry per atom: -0.7993
DOS(E_F) in states/eV/f.u.: 0.00